Here is a relaxed structure of Rb3La2NpS6 from the Alexandria database. Energies are from PBE.

Values from the calculation:
DOS(E_F): 6.0 states/eV/f.u.
magnetization: 4.00 Bohr magnetons per cell
density: 4.4 g/cm³
energy relative to the elements, uncorrected: -1706 meV/atom

Unit cell a=7.3998 b=7.3998 c=8.0683 alpha=98.80 beta=98.80 gamma=119.99
Last column: nearest neighbours and their distance in Å.
Fractional coordinates of all 12 atoms:
Rb (0.0000, 0.0000, 0.0000)  6 S 3.38-3.45
Rb (0.3322, 0.6678, 0.0000)  6 S 3.38-3.44
Rb (0.6678, 0.3322, 0.0000)  6 S 3.38-3.44
La (0.1665, 0.8335, 0.5000)  6 S 2.92
La (0.8335, 0.1665, 0.5000)  6 S 2.92
Np (0.5000, 0.5000, 0.5000)  6 S 2.83
S (0.1100, 0.4348, 0.3045)  1 Np 2.83, 2 La 2.92
S (0.2406, 0.2406, 0.6957)  1 Np 2.83, 2 La 2.92
S (0.4348, 0.1100, 0.3045)  1 Np 2.83, 2 La 2.92
S (0.5652, 0.8900, 0.6955)  1 Np 2.83, 2 La 2.92
S (0.7594, 0.7594, 0.3043)  1 Np 2.83, 2 La 2.92
S (0.8900, 0.5652, 0.6955)  1 Np 2.83, 2 La 2.92